[1]
Material: LuBeGa2
Method: DFT, PBE
State: optimized geometry

Geometry as POSCAR:
```
LuBeGa2
1.0
4.0491 0.0000 0.0000
0.0000 4.0491 0.0000
0.0000 0.0000 4.1055
Lu Be Ga
1 1 2
Cartesian
0.0000 0.0000 0.0000 Lu
2.0246 2.0246 0.0000 Be
0.0000 2.0246 2.0528 Ga
2.0246 0.0000 2.0528 Ga
```

E_form, eV/f.u.: -1.0
DFT total energy, eV/f.u.: -15.31
Energy above the most stable polymorph in this dataset, kJ/mol of atoms: 6.1
Magnetic moment, μB/cell: 0.00

[2]
Material: CaBeAs2
Method: DFT, PBE
State: optimized geometry

Geometry as POSCAR:
```
CaBeAs2
1.0
2.3070 -2.4079 0.0000
2.3070 2.4079 0.0000
0.0000 0.0000 7.7368
Ca Be As
1 1 2
Cartesian
0.0000 0.0000 0.0000 Ca
2.3070 0.0000 3.9973 Be
0.0000 0.0000 4.8323 As
2.3070 0.0000 1.7454 As
```

E_form, eV/f.u.: -0.5
DFT total energy, eV/f.u.: -15.54
Magnetic moment, μB/cell: 0.00

[3]
Material: NaSb2Te4
Method: DFT, PBE
State: optimized geometry

Geometry as POSCAR:
```
NaSb2Te4
1.0
8.7204 -2.1204 0.0000
8.7204 2.1204 0.0000
-2.9773 0.0000 6.6951
Na Sb Te
1 2 4
Cartesian
0.0000 0.0000 0.0000 Na
3.5687 0.0000 1.7275 Sb
10.8949 0.0000 4.9676 Sb
0.9280 0.0000 3.1866 Te
6.2599 0.0000 0.2113 Te
8.2037 0.0000 6.4838 Te
13.5355 0.0000 3.5085 Te
```

DFT total energy, eV/f.u.: -23.97
Formation energy (no corrections), eV per atom: -0.2622
Energy above the most stable polymorph in this dataset, kJ/mol of atoms: 0.0
Magnetic moment, μB/cell: 0.00

[4]
Material: BaAcZnSb
Method: DFT, PBE
State: optimized geometry

Geometry as POSCAR:
```
BaAcZnSb
1.0
0.0000 4.0721 4.0721
4.0721 0.0000 4.0721
4.0721 4.0721 0.0000
Ba Ac Zn Sb
1 1 1 1
Cartesian
0.0000 0.0000 0.0000 Ba
4.0721 4.0721 4.0721 Ac
6.1082 6.1082 6.1082 Zn
2.0361 2.0361 2.0361 Sb
```

DFT total energy, eV/f.u.: -13.49
Formation energy (no corrections), eV per atom: -0.5152
Magnetic moment, μB/cell: 0.00

[5]
Material: NiPb2Au
Method: DFT, PBE
State: optimized geometry

Geometry as POSCAR:
```
NiPb2Au
1.0
4.0757 0.0000 0.0000
0.0000 3.8132 0.0000
-2.0110 0.0000 5.6812
Ni Pb Au
1 2 1
Cartesian
0.0000 0.0000 0.0000 Ni
0.0300 1.9066 5.2007 Pb
2.0457 0.0000 2.9218 Pb
0.0074 1.9066 1.8726 Au
```

E_form, eV/f.u.: 0.2
DFT total energy, eV/f.u.: -16.24
Energy above the most stable polymorph in this dataset, kJ/mol of atoms: 0.0
Magnetic moment, μB/cell: 0.00

[6]
Material: AgTeSeI2
Method: DFT, PBE
State: optimized geometry

Geometry as POSCAR:
```
AgTeSeI2
1.0
5.6779 0.0000 0.0000
0.0000 5.6779 0.0000
0.0000 0.0000 5.6528
Ag Te Se I
1 1 1 2
Cartesian
0.0000 0.0000 0.0000 Ag
2.8389 2.8389 0.0000 Te
2.8389 2.8389 2.8264 Se
0.0000 2.8389 2.8264 I
2.8389 0.0000 2.8264 I
```

DFT total energy, eV/f.u.: -10.26
Formation energy (no corrections), eV per atom: 0.4632
Energy above the most stable polymorph in this dataset, kJ/mol of atoms: 0.0
Magnetic moment, μB/cell: 0.00

[7]
Material: TiIr2PtCl
Method: DFT, PBE
State: optimized geometry

Geometry as POSCAR:
```
TiIr2PtCl
1.0
4.8258 0.0000 0.0000
0.0000 4.8258 0.0000
0.0000 0.0000 4.8709
Ti Ir Pt Cl
1 2 1 1
Cartesian
0.0000 0.0000 0.0000 Ti
0.0000 2.4129 2.4354 Ir
2.4129 0.0000 2.4354 Ir
0.0000 0.0000 2.4354 Pt
2.4129 2.4129 0.0000 Cl
```

DFT total energy, eV/f.u.: -26.75
Formation energy (no corrections), eV per atom: 1.3501
Magnetic moment, μB/cell: 0.00

[8]
Material: CdP2Ir
Method: DFT, PBE
State: optimized geometry

Geometry as POSCAR:
```
CdP2Ir
1.0
1.4144 -2.4748 0.0000
1.4144 2.4748 0.0000
0.0000 0.0000 9.7470
Cd P Ir
1 2 1
Cartesian
0.0000 0.0000 0.0000 Cd
0.0000 0.0000 5.3156 P
1.4144 0.0000 2.4874 P
1.4144 0.0000 7.2042 Ir
```

E_form, eV/f.u.: 1.6
DFT total energy, eV/f.u.: -19.03
Magnetic moment, μB/cell: 0.00

[9]
Material: Sm7Dy2Tm4
Method: DFT, PBE
State: optimized geometry

Geometry as POSCAR:
```
Sm7Dy2Tm4
1.0
7.9764 0.0000 0.0000
-2.3998 7.6135 0.0000
-2.4001 -3.2651 6.8840
Sm Dy Tm
7 2 4
Cartesian
0.0000 0.0000 0.0000 Sm
-1.6166 2.8418 6.3607 Sm
1.5824 3.0047 1.0598 Sm
2.3900 -0.0936 2.6595 Sm
0.7865 4.4420 4.2245 Sm
1.5941 1.3437 5.8242 Sm
4.7930 1.5065 0.5232 Sm
-0.8178 1.4116 3.1883 Dy
3.9942 2.9367 3.6957 Dy
-1.6150 4.5093 1.5996 Tm
-0.0260 -1.6730 4.7571 Tm
3.2024 6.0213 2.1269 Tm
4.7914 -0.1609 5.2844 Tm
```

E_form, eV/f.u.: 0.3
DFT total energy, eV/f.u.: -59.87
Magnetic moment, μB/cell: 0.00

[10]
Material: Li3Cd2RhO6
Method: DFT, PBE
State: optimized geometry

Geometry as POSCAR:
```
Li3Cd2RhO6
1.0
2.7696 -5.0032 0.0000
2.7696 5.0032 0.0000
-1.6687 0.0000 4.9265
Li Cd Rh O
3 2 1 6
Cartesian
0.0000 0.0000 0.0000 Li
2.7696 1.3167 0.0000 Li
2.7696 -1.3167 0.0000 Li
1.9353 3.2901 2.4633 Cd
1.9353 -3.2901 2.4633 Cd
1.9353 0.0000 2.4633 Rh
1.1455 1.4131 1.2737 O
0.2843 0.0000 3.6108 O
1.1455 -1.4131 1.2737 O
2.7251 1.4131 3.6528 O
3.5862 0.0000 1.3157 O
2.7251 -1.4131 3.6528 O
```

DFT total energy, eV/f.u.: -59.55
Formation energy (no corrections), eV per atom: -1.2397
Magnetic moment, μB/cell: 2.03

[11]
Material: KInAg2F8
Method: DFT, PBE
State: optimized geometry

Geometry as POSCAR:
```
KInAg2F8
1.0
-2.7434 2.7434 5.6857
2.7434 -2.7434 5.6857
2.7434 2.7434 -5.6857
K In Ag F
1 1 2 8
Cartesian
0.0000 0.0000 0.0000 K
2.7434 0.0000 2.8428 In
0.0000 0.0000 5.6857 Ag
0.0000 2.7434 2.8428 Ag
1.3834 1.4937 -1.5704 F
1.3600 -1.2497 4.1153 F
1.4937 1.3834 1.5704 F
3.9931 1.3834 1.5704 F
1.3834 3.9931 -1.5704 F
1.3600 1.2497 4.1153 F
-1.2497 1.3600 7.2561 F
1.2497 1.3600 7.2561 F
```

DFT total energy, eV/f.u.: -45.61
Formation energy (no corrections), eV per atom: -1.7587
Magnetic moment, μB/cell: 2.07

[12]
Material: Li3Ag6Bi2
Method: DFT, PBE
State: optimized geometry

Geometry as POSCAR:
```
Li3Ag6Bi2
1.0
5.2168 0.0000 0.0000
0.6814 5.2623 0.0000
1.3041 -0.1504 7.8543
Li Ag Bi
3 6 2
Cartesian
0.0000 0.0000 0.0000 Li
2.7717 1.2770 4.4022 Li
4.4307 3.8349 3.4520 Li
1.8083 3.4604 2.0050 Ag
2.9176 2.1387 7.2072 Ag
2.7363 0.4927 1.3422 Ag
4.4661 4.6192 6.5121 Ag
4.2848 2.9731 0.6471 Ag
5.3941 1.6515 5.8492 Ag
1.8807 4.0105 5.0950 Bi
5.3218 1.1014 2.7593 Bi
```

E_form, eV/f.u.: -1.7
DFT total energy, eV/f.u.: -32.28
Magnetic moment, μB/cell: 0.00

[13]
Material: Cu7Pd4Pt
Method: DFT, PBE
State: optimized geometry

Geometry as POSCAR:
```
Cu7Pd4Pt
1.0
2.7191 0.0000 0.0000
-1.3595 2.3548 0.0000
0.0000 0.0000 25.5520
Cu Pd Pt
7 4 1
Cartesian
0.0000 0.0000 0.0000 Cu
0.0000 0.0000 6.2988 Cu
0.0000 0.0000 19.2532 Cu
0.0000 1.5699 4.3092 Cu
0.0000 1.5699 10.6009 Cu
1.3595 0.7849 14.9511 Cu
1.3595 0.7849 21.2428 Cu
0.0000 1.5699 17.1013 Pd
0.0000 1.5699 23.3983 Pd
1.3595 0.7849 2.1537 Pd
1.3595 0.7849 8.4506 Pd
0.0000 0.0000 12.7760 Pt
```

E_form, eV/f.u.: -1.0
DFT total energy, eV/f.u.: -56.44
Energy above the most stable polymorph in this dataset, kJ/mol of atoms: 0.0
Magnetic moment, μB/cell: 0.00

[14]
Material: CaTi2CdO
Method: DFT, PBE
State: optimized geometry

Geometry as POSCAR:
```
CaTi2CdO
1.0
4.1396 0.0000 0.0000
0.0000 4.1396 0.0000
0.0000 0.0000 5.7255
Ca Ti Cd O
1 2 1 1
Cartesian
0.0000 0.0000 0.0000 Ca
0.0000 2.0698 2.8627 Ti
2.0698 0.0000 2.8627 Ti
2.0698 2.0698 0.0000 Cd
2.0698 2.0698 2.8627 O
```

DFT total energy, eV/f.u.: -26.72
Formation energy (no corrections), eV per atom: -0.6114
Magnetic moment, μB/cell: 0.00

[15]
Material: Ca5Mg4Zn
Method: DFT, PBE
State: optimized geometry

Geometry as POSCAR:
```
Ca5Mg4Zn
1.0
3.8606 0.0000 0.0000
0.0000 3.8606 0.0000
0.0000 0.0000 19.9842
Ca Mg Zn
5 4 1
Cartesian
0.0000 0.0000 0.0000 Ca
0.0000 0.0000 4.1165 Ca
0.0000 0.0000 8.2438 Ca
0.0000 0.0000 11.7404 Ca
0.0000 0.0000 15.8677 Ca
1.9303 1.9303 2.0574 Mg
1.9303 1.9303 6.1592 Mg
1.9303 1.9303 13.8250 Mg
1.9303 1.9303 17.9268 Mg
1.9303 1.9303 9.9921 Zn
```

E_form, eV/f.u.: -1.1
DFT total energy, eV/f.u.: -18.75
Magnetic moment, μB/cell: 0.00

[16]
Material: SrYBr2
Method: DFT, PBE
State: optimized geometry

Geometry as POSCAR:
```
SrYBr2
1.0
3.7697 0.0000 0.0000
0.0000 4.9062 0.0000
0.0000 0.0000 7.1155
Sr Y Br
1 1 2
Cartesian
0.0000 0.0000 0.0000 Sr
1.8849 0.0000 3.5577 Y
0.0000 2.4531 3.5577 Br
1.8849 2.4531 0.0000 Br
```

DFT total energy, eV/f.u.: -15.64
Formation energy (no corrections), eV per atom: -1.0360
Energy above the most stable polymorph in this dataset, kJ/mol of atoms: 17.2
Magnetic moment, μB/cell: 0.00

[17]
Material: Pm2PrDy5Tm
Method: DFT, PBE
State: optimized geometry

Geometry as POSCAR:
```
Pm2PrDy5Tm
1.0
-4.3881 4.3881 7.6815
4.3881 -4.3881 7.6815
4.3881 4.3881 -7.6815
Pm Pr Dy Tm
4 2 10 2
Cartesian
5.4067 1.0186 0.0000 Pm
1.0186 3.3696 0.0000 Pm
3.3696 1.0186 7.6815 Pm
-1.0186 3.3696 7.6815 Pm
0.0000 0.0000 3.8407 Pr
0.0000 0.0000 11.5222 Pr
0.0000 0.0000 0.0000 Dy
2.5523 1.8358 -2.1012 Dy
2.5523 -1.8358 5.5802 Dy
2.5523 1.8358 2.1012 Dy
2.5523 -1.8358 9.7827 Dy
0.0000 0.0000 7.6815 Dy
1.8358 6.2239 -2.1012 Dy
1.8358 2.5523 5.5802 Dy
1.8358 6.2239 2.1012 Dy
1.8358 2.5523 9.7827 Dy
4.3881 0.0000 3.8407 Tm
0.0000 4.3881 3.8407 Tm
```

E_form, eV/f.u.: 2.4
DFT total energy, eV/f.u.: -39.32
Magnetic moment, μB/cell: 0.00

[18]
Material: CdGaTe3
Method: DFT, PBE
State: optimized geometry

Geometry as POSCAR:
```
CdGaTe3
1.0
5.6438 0.0000 0.0000
0.0000 5.6438 0.0000
0.0000 0.0000 5.6438
Cd Ga Te
1 1 3
Cartesian
0.0000 0.0000 0.0000 Cd
2.8219 2.8219 2.8219 Ga
0.0000 0.0000 2.8219 Te
0.0000 2.8219 0.0000 Te
2.8219 0.0000 0.0000 Te
```

DFT total energy, eV/f.u.: -11.47
Formation energy (no corrections), eV per atom: 0.3796
Energy above the most stable polymorph in this dataset, kJ/mol of atoms: 54.6
Magnetic moment, μB/cell: 0.00

[19]
Material: La6BO12
Method: DFT, PBE
State: optimized geometry

Geometry as POSCAR:
```
La6BO12
1.0
5.1443 2.9701 3.2241
-5.1443 2.9701 3.2241
0.0000 -5.9401 3.2241
La B O
6 1 12
Cartesian
-2.8025 -2.5344 4.9389 La
-3.5961 1.1599 4.7334 La
0.7936 -3.6943 4.7334 La
-0.7936 3.6943 4.9389 La
3.5961 -1.1599 4.9389 La
2.8025 2.5344 4.7335 La
0.0000 0.0000 4.8362 B
-1.3794 -4.2323 4.1271 O
-4.3549 -0.9215 5.5452 O
-1.4317 -0.3287 3.9106 O
-2.9755 3.3107 4.1271 O
1.0005 -1.0755 3.9106 O
-0.4312 -1.4042 5.7618 O
0.4312 1.4042 3.9106 O
-1.0005 1.0755 5.7618 O
2.9755 -3.3107 5.5452 O
1.4317 0.3287 5.7618 O
4.3549 0.9215 4.1271 O
1.3794 4.2322 5.5452 O
```

DFT total energy, eV/f.u.: -146.89
Formation energy (no corrections), eV per atom: -2.6922
Magnetic moment, μB/cell: 3.03

[20]
Material: Ti2CrHgC
Method: DFT, PBE
State: optimized geometry

Geometry as POSCAR:
```
Ti2CrHgC
1.0
4.2813 0.0000 0.0000
0.0000 4.2813 0.0000
0.0000 0.0000 3.8598
Ti Cr Hg C
2 1 1 1
Cartesian
0.0000 2.1406 0.0000 Ti
2.1406 0.0000 0.0000 Ti
0.0000 0.0000 1.9299 Cr
2.1406 2.1406 1.9299 Hg
0.0000 0.0000 0.0000 C
```

E_form, eV/f.u.: -1.4
DFT total energy, eV/f.u.: -36.31
Magnetic moment, μB/cell: 0.00

no.,Fermi-level density of states (states/eV/f.u.)
1,1.58
2,1.61
3,3.10
4,3.88
5,2.00
6,4.82
7,8.20
8,2.09
9,17.47
10,3.82
11,8.92
12,2.21
13,6.26
14,6.95
15,9.98
16,3.20
17,10.60
18,4.75
19,1.32
20,3.02